Computed, not measured: an optimized crystal structure of Dy2Ho2Sb3 at the PBE level of DFT.

a b c (Å): 4.3401 7.3346 7.3610
angles (deg): 81.11 89.96 72.85
With the nearest neighbours (Å) after each atom.
Sites, in units of the cell vectors:
Dy: 0.1238 0.2522 0.3655  5 Sb 3.04-3.07
Dy: 0.8762 0.7478 0.6345  5 Sb 3.04-3.07
Ho: 0.3796 0.7397 0.1164  4 Sb 3.03-3.04
Ho: 0.6204 0.2603 0.8836  4 Sb 3.03-3.04
Sb: 0.2438 0.0134 0.7523  3 Ho 3.03, 3 Dy 3.06-3.07
Sb: 0.5000 0.5000 0.5000  4 Dy 3.04, 2 Ho 3.04
Sb: 0.7562 0.9866 0.2477  3 Ho 3.03, 3 Dy 3.06-3.07

Properties
For the total magnetic moment, the calculation gives 0.00 μB/cell. The energy above the most stable polymorph in this dataset comes out at 0.146 eV/atom. The value obtained for the energy relative to the elements, uncorrected is -564 kJ/mol of formula units.

***

Computed, not measured: an optimized crystal structure of Dy4HoSb5 at the PBE level of DFT.

a b c (Å): 15.7900 15.7900 15.7900
angles (deg): 164.06 164.06 22.62
With the nearest neighbours (Å) after each atom.
Sites, in units of the cell vectors:
Dy: 0.0999 0.0999 0.0000  6 Sb 3.10
Dy: 0.3001 0.3001 0.0000  6 Sb 3.10
Dy: 0.6999 0.6999 0.0000  6 Sb 3.10
Dy: 0.9001 0.9001 0.0000  6 Sb 3.10
Ho: 0.5000 0.5000 0.0000  6 Sb 3.09-3.10
Sb: 0.0000 0.0000 0.0000  2 Dy 3.10, 4 Ho 3.10
Sb: 0.2000 0.2000 0.0000  6 Dy 3.10
Sb: 0.4002 0.4002 0.0000  1 Ho 3.09, 5 Dy 3.10
Sb: 0.5998 0.5998 0.0000  1 Ho 3.09, 5 Dy 3.10
Sb: 0.8000 0.8000 0.0000  6 Dy 3.10

Properties
For the total magnetic moment, the calculation gives 0.00 μB/cell. The value obtained for the energy relative to the elements, uncorrected is -1090 kJ/mol of formula units.

***

Computed, not measured: an optimized crystal structure of Dy4Ho3Sb4 at the PBE level of DFT.

a b c (Å): 9.9682 9.9682 9.9682
angles (deg): 156.76 125.57 59.96
With the nearest neighbours (Å) after each atom.
Sites, in units of the cell vectors:
Dy: 0.0135 0.8315 0.1820  4 Sb 3.08-3.11, 1 Dy 3.32
Dy: 0.3505 0.1685 0.1820  4 Sb 3.08-3.11, 1 Dy 3.32
Dy: 0.6495 0.8315 0.8180  4 Sb 3.08-3.11, 1 Dy 3.32
Dy: 0.9865 0.1685 0.8180  4 Sb 3.08-3.11, 1 Dy 3.32
Ho: 0.0000 0.5000 0.5000  4 Sb 3.34
Ho: 0.4009 0.4009 0.0000  6 Sb 3.07-3.24, 1 Ho 3.42
Ho: 0.5991 0.5991 0.0000  6 Sb 3.07-3.24, 1 Ho 3.42
Sb: 0.2663 0.7663 0.5000  2 Ho 3.07, 6 Dy 3.11
Sb: 0.2929 0.0000 0.2929  2 Dy 3.08, 6 Ho 3.24-3.34
Sb: 0.7071 0.0000 0.7071  2 Dy 3.08, 6 Ho 3.24-3.34
Sb: 0.7337 0.2337 0.5000  2 Ho 3.07, 6 Dy 3.11

Properties
For the total magnetic moment, the calculation gives 0.00 μB/cell. The value obtained for the energy relative to the elements, uncorrected is -793 kJ/mol of formula units.

***

These records have density values of 7.7; 8.0; 8.6 g/cm3, in the order they appear.